(1)
Here is crystalline V2PdAuC at its relaxed geometry from the Alexandria database. Energies are from GGA-PBE.

abc: 4.5584 4.9272 4.5584
angles: 90.00 90.00 90.00
Fractional coordinates of all 5 atoms:
1 V 0.5000 0.0000 0.0000
2 C 0.5000 0.5000 0.5000
3 V 0.0000 0.0000 0.5000
4 Pd 0.0000 0.0000 0.0000
5 Au 0.0000 0.5000 0.0000

Values from the calculation:
Fermi-level density of states in states/eV/cell: 7.9
E_form in eV/atom: 2.395
Size of the total moment in Bohr magnetons per cell: 0.00
Total DFT energy (no corrections) in eV/atom: -4.791

=====

(2)
Here is crystalline HfTe2Ir at its relaxed geometry from the Alexandria database. Energies are from GGA-PBE.

abc: 9.3706 9.3706 9.3706
angles: 21.33 21.33 21.33
Fractional coordinates of all 4 atoms:
1 Hf 0.5000 0.5000 0.5000
2 Ir 0.0000 0.0000 0.0000
3 Te 0.0925 0.0925 0.0925
4 Te 0.9075 0.9075 0.9075

Values from the calculation:
Energy above the lowest structure with this stoichiometry in eV/atom: 0.147
Fermi-level density of states in states/eV/cell: 4.0
ΔE_f (raw) in eV/f.u.: 0.76
Size of the total moment in Bohr magnetons per cell: 0.00
Total DFT energy (no corrections) in eV/atom: -6.085

=====

What is the size of the total moment in the first record? 0.00 Bohr magnetons per cell